Ac12Co5Ag3: optimized geometry, PBE-GGA.

DFT total energy (Ry/atom): -0.337
Symmetry: Ia-3d
Formation energy (eV per atom): 0.081
Size of the total moment (μB per formula unit): 0.000

Unit cell a=15.3785 b=15.3785 c=15.3785 alpha=109.47 beta=109.47 gamma=109.47
Last column: nearest neighbours and their distance in Å.
Positions (direct):
Ac: 0.0258 0.6198 0.7052  2 Co 2.65-2.88
Co: 0.3750 0.1250 0.7500  4 Ac 2.65
Ac: 0.1198 0.4146 0.0940  2 Co 2.65-2.88
Ac: 0.9146 0.8206 0.7948  2 Co 2.65-2.88
Ac: 0.4060 0.3802 0.5854  2 Co 2.65-2.88
Ac: 0.6794 0.2052 0.5854  2 Co 2.65-2.88
Ac: 0.7052 0.1198 0.0258  2 Co 2.65-2.88
Ac: 0.6198 0.5940 0.9146  2 Co 2.65-2.88
Co: 0.1250 0.3750 0.2500  4 Ac 2.65
Ac: 0.7948 0.3206 0.9146  2 Co 2.65-2.88
Ag: 0.3750 0.7500 0.6250  8 Ac 3.42-3.52
Ac: 0.0940 0.9146 0.1198  2 Co 2.65-2.88
Ac: 0.8206 0.9146 0.2948  2 Co 2.65-2.88
Ac: 0.5940 0.6198 0.4146  2 Co 2.65-2.88
Ag: 0.6250 0.2500 0.3750  8 Ac 3.42-3.52
Ac: 0.0258 0.4060 0.8206  2 Co 2.65-2.88
Ac: 0.9742 0.3802 0.2948  2 Co 2.65-2.88
Ag: 0.2500 0.6250 0.8750  8 Ac 3.42-3.52
Ag: 0.7500 0.8750 0.6250  8 Ac 3.42-3.52
Ag: 0.7500 0.3750 0.1250  8 Ac 3.42-3.52
Ag: 0.1250 0.2500 0.8750  8 Ac 3.42-3.52
Ac: 0.2052 0.6794 0.0854  2 Co 2.65-2.88
Ac: 0.8802 0.5854 0.9060  2 Co 2.65-2.88
Ac: 0.0854 0.1794 0.2052  2 Co 2.65-2.88
Ac: 0.1794 0.0854 0.7052  2 Co 2.65-2.88
Ac: 0.8206 0.9060 0.0258  2 Co 2.65-2.88
Ac: 0.3802 0.9742 0.7948  2 Co 2.65-2.88
Ac: 0.4742 0.6794 0.0940  2 Co 2.65-2.88
Co: 0.8750 0.2500 0.6250  4 Ac 2.65
Ac: 0.9742 0.5940 0.1794  2 Co 2.65-2.88
Ac: 0.3206 0.7948 0.4146  2 Co 2.65-2.88
Ag: 0.2500 0.1250 0.3750  8 Ac 3.42-3.52
Co: 0.5000 0.0000 0.5000  6 Ac 2.88
Ag: 0.8750 0.7500 0.1250  8 Ac 3.42-3.52
Co: 0.7500 0.6250 0.3750  4 Ac 2.65
Ac: 0.5258 0.2052 0.1198  2 Co 2.65-2.88
Ag: 0.1250 0.8750 0.7500  8 Ac 3.42-3.52
Co: 0.1250 0.7500 0.3750  4 Ac 2.65
Ac: 0.5854 0.7052 0.6794  2 Co 2.65-2.88
Co: 0.8750 0.6250 0.7500  4 Ac 2.65
Ac: 0.5940 0.9742 0.6794  2 Co 2.65-2.88
Ac: 0.4742 0.7948 0.8802  2 Co 2.65-2.88
Co: 0.0000 0.0000 0.0000  6 Ac 2.88
Ac: 0.5258 0.3206 0.9060  2 Co 2.65-2.88
Co: 0.3750 0.2500 0.1250  4 Ac 2.65
Co: 0.6250 0.7500 0.8750  4 Ac 2.65
Ac: 0.0940 0.1794 0.4742  2 Co 2.65-2.88
Ac: 0.1198 0.7052 0.5258  2 Co 2.65-2.88
Ac: 0.6198 0.0258 0.2052  2 Co 2.65-2.88
Ac: 0.9060 0.8206 0.5258  2 Co 2.65-2.88
Co: 0.5000 0.5000 0.0000  6 Ac 2.88
Ac: 0.6794 0.4742 0.5940  2 Co 2.65-2.88
Ac: 0.4146 0.1198 0.5940  2 Co 2.65-2.88
Ac: 0.2948 0.8802 0.9742  2 Co 2.65-2.88
Ac: 0.2948 0.4146 0.8206  2 Co 2.65-2.88
Ac: 0.0854 0.9060 0.3802  2 Co 2.65-2.88
Co: 0.2500 0.8750 0.1250  4 Ac 2.65
Co: 0.5000 0.0000 0.0000  6 Ac 2.88
Co: 0.0000 0.5000 0.5000  6 Ac 2.88
Ac: 0.8802 0.2948 0.4742  2 Co 2.65-2.88
Ac: 0.9146 0.0940 0.6198  2 Co 2.65-2.88
Ac: 0.7052 0.5854 0.1794  2 Co 2.65-2.88
Ac: 0.1794 0.0940 0.9742  2 Co 2.65-2.88
Ac: 0.3206 0.5258 0.4060  2 Co 2.65-2.88
Ag: 0.8750 0.1250 0.2500  8 Ac 3.42-3.52
Ac: 0.3802 0.4060 0.0854  2 Co 2.65-2.88
Ac: 0.7948 0.4742 0.3802  2 Co 2.65-2.88
Co: 0.2500 0.3750 0.6250  4 Ac 2.65
Ac: 0.4146 0.2948 0.3206  2 Co 2.65-2.88
Ag: 0.6250 0.3750 0.7500  8 Ac 3.42-3.52
Co: 0.6250 0.8750 0.2500  4 Ac 2.65
Ac: 0.4060 0.0258 0.3206  2 Co 2.65-2.88
Co: 0.0000 0.5000 0.0000  6 Ac 2.88
Ac: 0.5854 0.8802 0.4060  2 Co 2.65-2.88
Co: 0.7500 0.1250 0.8750  4 Ac 2.65
Co: 0.5000 0.5000 0.5000  6 Ac 2.88
Ac: 0.2052 0.5258 0.6198  2 Co 2.65-2.88
Co: 0.0000 0.0000 0.5000  6 Ac 2.88
Ac: 0.9060 0.0854 0.8802  2 Co 2.65-2.88
Ag: 0.3750 0.6250 0.2500  8 Ac 3.42-3.52